Density functional theory data (GGA-PBE) for LiPmSn2 after structural relaxation.

Properties
Space-group type   P4/mmm
Crystal system   tetragonal
DFT total energy   -4.2521 eV per atom
Magnetization   0.001 μB per atom

a = 4.672 Å, b = 4.672 Å, c = 4.511 Å
α = 90.00°, β = 90.00°, γ = 90.00°
Positions (direct):
Li  0.000  0.000  0.500
Pm  0.500  0.500  0.500
Sn  0.000  0.500  0.000
Sn  0.500  0.000  0.000